First-principles (PBE+U) data for a relaxed V6O7F5 crystal, as listed in Alexandria via LeMat-Bulk.

Summary:
VASP energy in eV per atom: -7.27
Space group: C2, No. 5

a b c (Å): 4.699 4.699 9.291
angles (deg): 89.94 89.94 87.43
Last column: magnetic moment on the atom in μB.
Sites, in units of the cell vectors:
V (0.013, 0.002, 0.674)  1.95
V (0.973, 0.027, 0.000)  1.96
V (0.998, 0.987, 0.326)  1.95
V (0.476, 0.468, 0.826)  1.93
V (0.508, 0.492, 0.500)  1.27
V (0.532, 0.524, 0.174)  1.93
O (0.814, 0.815, 0.166)  -0.08
O (0.681, 0.319, 0.000)  -0.07
O (0.694, 0.291, 0.656)  -0.07
O (0.709, 0.306, 0.344)  -0.07
O (0.304, 0.683, 0.658)  -0.07
O (0.317, 0.696, 0.342)  -0.07
O (0.185, 0.186, 0.834)  -0.08
F (0.787, 0.798, 0.833)  0.01
F (0.810, 0.795, 0.503)  0.00
F (0.292, 0.708, 0.000)  0.00
F (0.205, 0.190, 0.497)  0.00
F (0.202, 0.213, 0.167)  0.01